No. 1
The following is a GGA-PBE calculation of a geometry-optimized KOs2Au structure, from Alexandria via LeMat-Bulk.

Summary:
Its energy above the lowest structure with this stoichiometry is 547 meV/atom. Its density of states at the Fermi level is 1.073 states/eV/atom. The value obtained for the energy relative to the elements is 105.3 kJ/mol of atoms.

a = 2.807 Å, b = 4.712 Å, c = 10.799 Å
α = 90.00°, β = 90.00°, γ = 90.00°
Space group Cmmm (No. 65)
Asymmetric unit:
1 K 0.000 0.000 0.000
2 Os 0.000 0.500 0.270
3 Au 0.000 0.000 0.500


No. 2
The following is a GGA-PBE calculation of a geometry-optimized Y3WC3 structure, from Alexandria via LeMat-Bulk.

Summary:
Its density of states at the Fermi level is 0.540 states/eV/atom. The value obtained for the energy relative to the elements is -31.9 kJ/mol of atoms.

a = 8.861 Å, b = 10.598 Å, c = 5.167 Å
α = 90.00°, β = 90.00°, γ = 90.00°
Space group Cmcm (No. 63)
Asymmetric unit:
1 Y 0.000 0.110 0.250
2 Y 0.216 0.384 0.250
3 W 0.000 0.310 0.750
4 C 0.000 0.124 0.750
5 C 0.208 0.380 0.750


No. 3
The following is a GGA-PBE calculation of a geometry-optimized Sr2TaTl3Se6 structure, from Alexandria via LeMat-Bulk.

Summary:
For the formation energy without anion corrections, the calculation gives -1034 meV per atom.

a = 7.490 Å, b = 12.870 Å, c = 7.893 Å
α = 90.00°, β = 107.96°, γ = 90.00°
Space group C2/m (No. 12)
Asymmetric unit:
1 Sr 0.000 0.166 0.000
2 Ta 0.000 0.500 0.000
3 Tl 0.000 0.000 0.500
4 Tl 0.000 0.332 0.500
5 Se 0.211 0.358 0.204
6 Se 0.215 0.500 0.786